(1)
Below is Na4Tb3GeO8 after structural relaxation, with properties calculated at the PBE level. Values from VASP.

Calculated values
DOS at the Fermi energy (states/eV per atom): 0.08
Space-group type: R-3m
Formation energy (no corrections) (eV per atom): -2.3828
M_tot (μB/f.u.): 0.00

Structure (Quantum ESPRESSO input):
```
&SYSTEM
  ibrav = 0, nat = 16, ntyp = 4
/
ATOMIC_SPECIES
O 16.00 O.upf
Ge 72.64 Ge.upf
Tb 158.93 Tb.upf
Na 22.99 Na.upf
ATOMIC_POSITIONS crystal
O 0.771 0.290 0.541
Ge 0.000 0.500 0.000
Tb 0.500 0.500 0.500
O 0.249 0.290 0.020
O 0.229 0.710 0.459
Na 0.500 0.000 0.500
O 0.262 0.287 0.525
Na 0.500 0.000 0.000
O 0.230 0.710 0.980
O 0.738 0.713 0.475
O 0.770 0.290 0.020
Tb 0.500 0.500 0.000
O 0.751 0.710 0.980
Na 0.000 0.000 0.500
Na 0.000 0.000 0.000
Tb 0.000 0.500 0.500
CELL_PARAMETERS angstrom
6.766 0.000 0.000
0.000 6.813 0.028
-3.383 -3.379 4.787
```


(2)
Below is Na3Tb3GeO8 after structural relaxation, with properties calculated at the PBE level. Values from VASP.

Calculated values
DOS at the Fermi energy (states/eV per atom): 0.00
Space-group type: R-3m
Formation energy (no corrections) (eV per atom): -2.5209
M_tot (μB/f.u.): 0.00

Structure (Quantum ESPRESSO input):
```
&SYSTEM
  ibrav = 0, nat = 15, ntyp = 4
/
ATOMIC_SPECIES
Na 22.99 Na.upf
O 16.00 O.upf
Ge 72.64 Ge.upf
Tb 158.93 Tb.upf
ATOMIC_POSITIONS crystal
Na 0.000 0.500 0.000
O 0.264 0.527 0.291
O 0.790 0.016 0.305
O 0.790 0.580 0.305
Ge 0.000 0.000 0.500
Na 0.000 0.000 0.000
O 0.226 0.016 0.305
O 0.774 0.984 0.695
Tb 0.000 0.500 0.500
Tb 0.500 0.000 0.500
O 0.736 0.473 0.709
O 0.210 0.420 0.695
Na 0.500 0.500 0.000
O 0.210 0.984 0.695
Tb 0.500 0.500 0.500
CELL_PARAMETERS angstrom
6.699 0.000 0.000
-3.349 5.801 -0.021
0.000 -3.849 5.568
```


(3)
Below is NaTbGe2O6 after structural relaxation, with properties calculated at the PBE level. Values from VASP.

Calculated values
DOS at the Fermi energy (states/eV per atom): 0.00
Space-group type: C2/c
Formation energy (no corrections) (eV per atom): -2.2261
M_tot (μB/f.u.): 0.00

Structure (Quantum ESPRESSO input):
```
&SYSTEM
  ibrav = 0, nat = 20, ntyp = 4
/
ATOMIC_SPECIES
Tb 158.93 Tb.upf
O 16.00 O.upf
Na 22.99 Na.upf
Ge 72.64 Ge.upf
ATOMIC_POSITIONS crystal
Tb 0.250 0.890 0.110
O 0.336 0.882 0.392
Na 0.250 0.318 0.682
Ge 0.247 0.377 0.204
O 0.164 0.608 0.118
Tb 0.750 0.110 0.890
O 0.020 0.662 0.624
O 0.480 0.376 0.338
O 0.664 0.118 0.608
Ge 0.747 0.204 0.377
O 0.649 0.804 0.961
O 0.351 0.196 0.039
O 0.520 0.624 0.662
O 0.149 0.961 0.804
Ge 0.253 0.796 0.623
O 0.980 0.338 0.376
O 0.836 0.392 0.882
Ge 0.753 0.623 0.796
O 0.851 0.039 0.196
Na 0.750 0.682 0.318
CELL_PARAMETERS angstrom
-4.467 -0.918 3.452
-2.738 -6.148 -2.633
2.867 -4.192 5.141
```


(4)
Below is NaTb2GeO5 after structural relaxation, with properties calculated at the PBE level. Values from VASP.

Calculated values
DOS at the Fermi energy (states/eV per atom): 0.28
Space-group type: I4/mcm
Formation energy (no corrections) (eV per atom): -2.4075
M_tot (μB/f.u.): 0.75

Structure (Quantum ESPRESSO input):
```
&SYSTEM
  ibrav = 0, nat = 18, ntyp = 4
/
ATOMIC_SPECIES
O 16.00 O.upf
Na 22.99 Na.upf
Tb 158.93 Tb.upf
Ge 72.64 Ge.upf
ATOMIC_POSITIONS crystal
O 0.500 0.500 0.000
O 0.013 0.513 0.745
Na 0.250 0.250 0.500
O 0.233 0.013 0.745
O 0.487 0.267 0.255
Tb 0.822 0.678 0.000
O 0.267 0.767 0.255
Ge 0.750 0.250 0.500
Ge 0.250 0.750 0.500
O 0.767 0.987 0.255
Tb 0.178 0.322 0.000
Tb 0.322 0.822 0.000
Tb 0.678 0.178 0.000
O 0.513 0.733 0.745
O 0.733 0.233 0.745
Na 0.750 0.750 0.500
O 0.000 0.000 0.000
O 0.987 0.487 0.255
CELL_PARAMETERS angstrom
-1.288 -5.128 3.939
-1.160 -3.768 -5.284
6.761 2.946 0.528
```


(5)
Below is NaTbGeO4 after structural relaxation, with properties calculated at the PBE level. Values from VASP.

Calculated values
DOS at the Fermi energy (states/eV per atom): 0.00
Space-group type: Imma
Formation energy (no corrections) (eV per atom): -2.3100
M_tot (μB/f.u.): 0.00
Polymorph energy (0 for the lowest one) (meV/atom): 162

Structure (Quantum ESPRESSO input):
```
&SYSTEM
  ibrav = 0, nat = 14, ntyp = 4
/
ATOMIC_SPECIES
Ge 72.64 Ge.upf
O 16.00 O.upf
Na 22.99 Na.upf
Tb 158.93 Tb.upf
ATOMIC_POSITIONS crystal
Ge 0.367 0.383 0.883
O 0.743 0.725 0.789
Na 0.500 0.000 0.500
Na 0.000 0.000 0.500
O 0.743 0.289 0.225
Tb 0.000 0.500 0.500
O 0.248 0.259 0.759
Ge 0.633 0.617 0.117
Tb 0.000 0.000 0.000
O 0.265 0.741 0.241
O 0.752 0.741 0.241
O 0.257 0.711 0.775
O 0.735 0.259 0.759
O 0.257 0.275 0.211
CELL_PARAMETERS angstrom
6.051 0.000 0.000
3.025 5.590 -0.153
3.025 1.557 5.370
```


(6)
Below is NaTbGeO4 after structural relaxation, with properties calculated at the PBE level. Values from VASP.

Calculated values
DOS at the Fermi energy (states/eV per atom): 0.00
Space-group type: Pnma
Formation energy (no corrections) (eV per atom): -2.4722
M_tot (μB/f.u.): 0.00
Polymorph energy (0 for the lowest one) (meV/atom): 0

Structure (Quantum ESPRESSO input):
```
&SYSTEM
  ibrav = 0, nat = 28, ntyp = 4
/
ATOMIC_SPECIES
Tb 158.93 Tb.upf
Ge 72.64 Ge.upf
Na 22.99 Na.upf
O 16.00 O.upf
ATOMIC_POSITIONS crystal
Tb 0.004 0.250 0.222
Ge 0.445 0.250 0.403
Na 0.500 0.000 0.000
O 0.792 0.543 0.174
Tb 0.996 0.750 0.778
O 0.292 0.043 0.326
O 0.792 0.957 0.174
O 0.208 0.043 0.826
O 0.229 0.750 0.611
O 0.675 0.750 0.455
Ge 0.055 0.250 0.903
O 0.325 0.250 0.545
Ge 0.945 0.750 0.097
Na 0.000 0.000 0.500
O 0.292 0.457 0.326
O 0.208 0.457 0.826
O 0.271 0.750 0.111
O 0.729 0.250 0.889
O 0.771 0.250 0.389
Na 0.000 0.500 0.500
Na 0.500 0.500 0.000
Tb 0.496 0.250 0.722
O 0.708 0.543 0.674
O 0.708 0.957 0.674
Tb 0.504 0.750 0.278
O 0.175 0.250 0.045
Ge 0.555 0.750 0.597
O 0.825 0.750 0.955
CELL_PARAMETERS angstrom
-2.200 -4.856 -0.368
5.680 -2.409 -2.155
3.173 -2.262 10.891
```


(7)
Below is NaTcGeO5 after structural relaxation, with properties calculated at the PBE level. Values from VASP.

Calculated values
DOS at the Fermi energy (states/eV per atom): 0.29
Space-group type: C2/c
Formation energy (no corrections) (eV per atom): -1.5635
M_tot (μB/f.u.): 1.64

Structure (Quantum ESPRESSO input):
```
&SYSTEM
  ibrav = 0, nat = 16, ntyp = 4
/
ATOMIC_SPECIES
O 16.00 O.upf
Tc 98.00 Tc.upf
Ge 72.64 Ge.upf
Na 22.99 Na.upf
ATOMIC_POSITIONS crystal
O 0.099 0.689 0.892
Tc 0.000 0.000 0.500
Ge 0.312 0.688 0.750
Na 0.329 0.671 0.250
O 0.632 0.758 0.916
O 0.948 0.052 0.750
O 0.368 0.242 0.084
O 0.901 0.311 0.108
O 0.242 0.368 0.584
Tc 0.000 0.000 0.000
O 0.758 0.632 0.416
Ge 0.688 0.312 0.250
O 0.052 0.948 0.250
Na 0.671 0.329 0.750
O 0.689 0.099 0.392
O 0.311 0.901 0.608
CELL_PARAMETERS angstrom
5.648 0.060 -0.063
-1.591 5.420 -0.063
-1.760 -2.377 6.686
```


(8)
Below is NaTcGeO6 after structural relaxation, with properties calculated at the PBE level. Values from VASP.

Calculated values
Space-group type: P-31c
Formation energy (no corrections) (eV per atom): -1.3948
M_tot (μB/f.u.): 0.00

Structure (Quantum ESPRESSO input):
```
&SYSTEM
  ibrav = 0, nat = 18, ntyp = 4
/
ATOMIC_SPECIES
O 16.00 O.upf
Na 22.99 Na.upf
Tc 98.00 Tc.upf
Ge 72.64 Ge.upf
ATOMIC_POSITIONS crystal
O 0.998 0.613 0.852
O 0.613 0.998 0.352
Na 0.000 0.000 0.000
O 0.002 0.387 0.148
Tc 0.667 0.333 0.750
O 0.615 0.002 0.852
O 0.613 0.615 0.148
O 0.385 0.998 0.148
O 0.385 0.387 0.352
Tc 0.333 0.667 0.250
O 0.615 0.613 0.648
O 0.002 0.615 0.352
O 0.387 0.002 0.648
Ge 0.667 0.333 0.250
Na 0.000 0.000 0.500
O 0.387 0.385 0.852
Ge 0.333 0.667 0.750
O 0.998 0.385 0.648
CELL_PARAMETERS angstrom
-4.868 1.310 -0.857
1.081 -4.330 2.496
-0.203 5.159 9.038
```